A plane-wave DFT calculation with PBEsol was carried out for ReCl6 after structural relaxation.

As for the magnetization: 3.1 μB/cell. The final energy comes out at -4.15 eV/atom. Its formation energy (no corrections) is -0.53 eV per atom. The density of states at the Fermi level is 11.11 states/eV per cell. Its crystal system is trigonal.

The space group is R-3 (No. 148, hexagonal axes) and the conventional cell measures 5.9784, 5.9784 and 16.1781 Å, with angles of 90.00, 90.00 and 120.00 degrees. Symmetry generates all atoms from Re at (0.0000, 0.0000, 0.0000) and Cl at (0.0057, 0.3144, 0.0809).